## Zr9CoMo4 (GGA-PBEsol)

Data for Zr9CoMo4 after structural relaxation.

Properties
- E_form (eV per atom) = -0.123
- DOS(E_F) (states/eV/cell) = 26.76

The structure in CIF format:
```
data_Zr9CoMo4
_cell_length_a 8.298
_cell_length_b 8.681
_cell_length_c 8.681
_cell_angle_alpha 120.00
_cell_angle_beta 90.00
_cell_angle_gamma 90.00
_space_group_name_H-M_alt 'P 1'
_space_group_IT_number 1
_space_group_name_Hall 'P 1'
loop_
_atom_site_label
_atom_site_type_symbol
_atom_site_fract_x
_atom_site_fract_y
_atom_site_fract_z
Mo1 Mo 0.750 0.110 0.890
Mo2 Mo 0.250 0.220 0.110
Mo3 Mo 0.750 0.780 0.890
Mo4 Mo 0.500 0.000 0.000
Mo5 Mo 0.250 0.890 0.110
Mo6 Mo 0.250 0.890 0.780
Mo7 Mo 0.000 0.000 0.000
Mo8 Mo 0.750 0.110 0.220
Zr1 Zr 0.442 0.201 0.402
Zr2 Zr 0.558 0.402 0.201
Zr3 Zr 0.058 0.598 0.799
Zr4 Zr 0.250 0.543 0.085
Zr5 Zr 0.942 0.799 0.598
Zr6 Zr 0.058 0.201 0.402
Zr7 Zr 0.750 0.457 0.915
Zr8 Zr 0.442 0.598 0.799
Zr9 Zr 0.942 0.799 0.201
Zr10 Zr 0.442 0.201 0.799
Zr11 Zr 0.750 0.085 0.543
Zr12 Zr 0.250 0.915 0.457
Zr13 Zr 0.558 0.799 0.201
Zr14 Zr 0.750 0.457 0.543
Zr15 Zr 0.558 0.799 0.598
Zr16 Zr 0.058 0.201 0.799
Zr17 Zr 0.942 0.402 0.201
Zr18 Zr 0.250 0.543 0.457
Co1 Co 0.250 0.333 0.667
Co2 Co 0.750 0.667 0.333
```

***

## Co4N (GGA-PBEsol)

Data for Co4N after structural relaxation.

Properties
- electronic total energy (eV per atom) = -7.8844
- DOS(E_F) (states/eV/cell) = 6.82

The structure in CIF format:
```
data_Co4N
_cell_length_a 3.669
_cell_length_b 3.669
_cell_length_c 3.669
_cell_angle_alpha 90.00
_cell_angle_beta 90.00
_cell_angle_gamma 90.00
_space_group_name_H-M_alt 'P 1'
_space_group_IT_number 1
_space_group_name_Hall 'P 1'
loop_
_atom_site_label
_atom_site_type_symbol
_atom_site_fract_x
_atom_site_fract_y
_atom_site_fract_z
Co1 Co 0.500 0.000 0.500
Co2 Co 0.000 0.500 0.500
Co3 Co 0.000 0.000 0.000
Co4 Co 0.500 0.500 0.000
N1 N 0.500 0.500 0.500
```

***

## Co2N (GGA-PBEsol)

Data for Co2N after structural relaxation.

Properties
- electronic total energy (eV per atom) = -8.1008
- DOS(E_F) (states/eV/cell) = 5.61

The structure in CIF format:
```
data_Co2N
_cell_length_a 2.797
_cell_length_b 4.226
_cell_length_c 4.478
_cell_angle_alpha 90.00
_cell_angle_beta 90.00
_cell_angle_gamma 90.00
_space_group_name_H-M_alt 'P 1'
_space_group_IT_number 1
_space_group_name_Hall 'P 1'
loop_
_atom_site_label
_atom_site_type_symbol
_atom_site_fract_x
_atom_site_fract_y
_atom_site_fract_z
Co1 Co 0.500 0.770 0.176
Co2 Co 0.000 0.730 0.676
Co3 Co 0.000 0.270 0.324
Co4 Co 0.500 0.230 0.824
N1 N 0.500 0.500 0.500
N2 N 0.000 0.000 0.000
```

***

## NaCo3N (GGA-PBEsol)

Data for NaCo3N after structural relaxation.

Properties
- electronic total energy (eV per atom) = -3.5161
- DOS(E_F) (states/eV/cell) = 10.97

The structure in CIF format:
```
data_NaCo3N
_cell_length_a 4.234
_cell_length_b 4.234
_cell_length_c 4.234
_cell_angle_alpha 90.00
_cell_angle_beta 90.00
_cell_angle_gamma 90.00
_space_group_name_H-M_alt 'P 1'
_space_group_IT_number 1
_space_group_name_Hall 'P 1'
loop_
_atom_site_label
_atom_site_type_symbol
_atom_site_fract_x
_atom_site_fract_y
_atom_site_fract_z
Co1 Co 0.000 0.500 0.000
Co2 Co 0.500 0.000 0.000
Co3 Co 0.000 0.000 0.500
Na1 Na 0.000 0.000 0.000
N1 N 0.500 0.500 0.500
```

***

## NaCoReN2 (GGA-PBEsol)

Data for NaCoReN2 after structural relaxation.

Properties
- electronic total energy (eV per atom) = -6.0056
- DOS(E_F) (states/eV/cell) = 5.59

The structure in CIF format:
```
data_NaCoReN2
_cell_length_a 3.751
_cell_length_b 3.751
_cell_length_c 4.569
_cell_angle_alpha 90.00
_cell_angle_beta 90.00
_cell_angle_gamma 90.00
_space_group_name_H-M_alt 'P 1'
_space_group_IT_number 1
_space_group_name_Hall 'P 1'
loop_
_atom_site_label
_atom_site_type_symbol
_atom_site_fract_x
_atom_site_fract_y
_atom_site_fract_z
Co1 Co 0.000 0.000 0.000
N1 N 0.500 0.000 0.000
N2 N 0.000 0.500 0.000
Re1 Re 0.000 0.000 0.500
Na1 Na 0.500 0.500 0.500
```

***

## Nb2CoN (GGA-PBEsol)

Data for Nb2CoN after structural relaxation.

Properties
- electronic total energy (eV per atom) = -9.5762
- DOS(E_F) (states/eV/cell) = 3.58

The structure in CIF format:
```
data_Nb2CoN
_cell_length_a 5.073
_cell_length_b 5.073
_cell_length_c 6.067
_cell_angle_alpha 114.71
_cell_angle_beta 114.71
_cell_angle_gamma 90.00
_space_group_name_H-M_alt 'P 1'
_space_group_IT_number 1
_space_group_name_Hall 'P 1'
loop_
_atom_site_label
_atom_site_type_symbol
_atom_site_fract_x
_atom_site_fract_y
_atom_site_fract_z
Nb1 Nb 0.427 0.875 0.250
Nb2 Nb 0.823 0.375 0.250
Nb3 Nb 0.625 0.573 0.750
Nb4 Nb 0.125 0.177 0.750
N1 N 0.500 0.500 0.000
N2 N 0.750 0.250 0.500
Co1 Co 0.250 0.750 0.500
Co2 Co 0.000 0.000 0.000
```

***

## NbCoN2 (GGA-PBEsol)

Data for NbCoN2 after structural relaxation.

Properties
- electronic total energy (eV per atom) = -9.2115
- DOS(E_F) (states/eV/cell) = 2.77

The structure in CIF format:
```
data_NbCoN2
_cell_length_a 3.101
_cell_length_b 3.101
_cell_length_c 6.082
_cell_angle_alpha 75.23
_cell_angle_beta 75.23
_cell_angle_gamma 60.00
_space_group_name_H-M_alt 'P 1'
_space_group_IT_number 1
_space_group_name_Hall 'P 1'
loop_
_atom_site_label
_atom_site_type_symbol
_atom_site_fract_x
_atom_site_fract_y
_atom_site_fract_z
N1 N 0.897 0.897 0.309
N2 N 0.103 0.103 0.691
Co1 Co 0.000 0.000 0.000
Nb1 Nb 0.500 0.500 0.500
```

***

## NbCo2N (GGA-PBEsol)

Data for NbCo2N after structural relaxation.

Properties
- electronic total energy (eV per atom) = -8.5747
- DOS(E_F) (states/eV/cell) = 4.24

The structure in CIF format:
```
data_NbCo2N
_cell_length_a 5.119
_cell_length_b 5.289
_cell_length_c 5.119
_cell_angle_alpha 61.06
_cell_angle_beta 90.00
_cell_angle_gamma 118.94
_space_group_name_H-M_alt 'P 1'
_space_group_IT_number 1
_space_group_name_Hall 'P 1'
loop_
_atom_site_label
_atom_site_type_symbol
_atom_site_fract_x
_atom_site_fract_y
_atom_site_fract_z
Nb1 Nb 0.000 0.000 0.000
Nb2 Nb 0.750 0.500 0.750
Co1 Co 0.375 0.250 0.240
Co2 Co 0.875 0.250 0.510
Co3 Co 0.240 0.750 0.875
Co4 Co 0.510 0.750 0.375
N1 N 0.500 0.000 0.500
N2 N 0.250 0.500 0.250
```

***

## Nb4Co2N (GGA-PBEsol)

Data for Nb4Co2N after structural relaxation.

Properties
- electronic total energy (eV per atom) = -10.1537
- DOS(E_F) (states/eV/cell) = 36.47

The structure in CIF format:
```
data_Nb4Co2N
_cell_length_a 8.147
_cell_length_b 8.147
_cell_length_c 8.147
_cell_angle_alpha 60.00
_cell_angle_beta 60.00
_cell_angle_gamma 60.00
_space_group_name_H-M_alt 'P 1'
_space_group_IT_number 1
_space_group_name_Hall 'P 1'
loop_
_atom_site_label
_atom_site_type_symbol
_atom_site_fract_x
_atom_site_fract_y
_atom_site_fract_z
Nb1 Nb 0.937 0.563 0.937
Nb2 Nb 0.125 0.125 0.625
Nb3 Nb 0.563 0.937 0.937
Nb4 Nb 0.313 0.687 0.313
Nb5 Nb 0.313 0.687 0.687
Nb6 Nb 0.687 0.313 0.687
Nb7 Nb 0.937 0.937 0.563
Nb8 Nb 0.563 0.937 0.563
Nb9 Nb 0.563 0.563 0.937
Nb10 Nb 0.937 0.563 0.563
Nb11 Nb 0.125 0.625 0.125
Nb12 Nb 0.687 0.687 0.313
Nb13 Nb 0.313 0.313 0.687
Nb14 Nb 0.125 0.125 0.125
Nb15 Nb 0.687 0.313 0.313
Nb16 Nb 0.625 0.125 0.125
N1 N 0.625 0.125 0.625
N2 N 0.625 0.625 0.625
N3 N 0.125 0.625 0.625
N4 N 0.625 0.625 0.125
Co1 Co 0.922 0.235 0.922
Co2 Co 0.328 0.015 0.328
Co3 Co 0.328 0.328 0.328
Co4 Co 0.922 0.922 0.922
Co5 Co 0.015 0.328 0.328
Co6 Co 0.235 0.922 0.922
Co7 Co 0.922 0.922 0.235
Co8 Co 0.328 0.328 0.015
```

***

## Nb2CoPtN (GGA-PBEsol)

Data for Nb2CoPtN after structural relaxation.

Properties
- electronic total energy (eV per atom) = -7.3330
- DOS(E_F) (states/eV/cell) = 5.71

The structure in CIF format:
```
data_Nb2CoPtN
_cell_length_a 4.426
_cell_length_b 4.426
_cell_length_c 4.439
_cell_angle_alpha 90.00
_cell_angle_beta 90.00
_cell_angle_gamma 90.00
_space_group_name_H-M_alt 'P 1'
_space_group_IT_number 1
_space_group_name_Hall 'P 1'
loop_
_atom_site_label
_atom_site_type_symbol
_atom_site_fract_x
_atom_site_fract_y
_atom_site_fract_z
Co1 Co 0.000 0.000 0.000
N1 N 0.500 0.500 0.500
Nb1 Nb 0.000 0.500 0.000
Nb2 Nb 0.500 0.000 0.000
Pt1 Pt 0.000 0.000 0.500
```

***

## NbCoTe2N (GGA-PBEsol)

Data for NbCoTe2N after structural relaxation.

Properties
- electronic total energy (eV per atom) = -6.3817
- DOS(E_F) (states/eV/cell) = 5.12

The structure in CIF format:
```
data_NbCoTe2N
_cell_length_a 3.524
_cell_length_b 4.852
_cell_length_c 4.852
_cell_angle_alpha 90.00
_cell_angle_beta 90.00
_cell_angle_gamma 90.00
_space_group_name_H-M_alt 'P 1'
_space_group_IT_number 1
_space_group_name_Hall 'P 1'
loop_
_atom_site_label
_atom_site_type_symbol
_atom_site_fract_x
_atom_site_fract_y
_atom_site_fract_z
Te1 Te 0.000 0.500 0.000
Te2 Te 0.000 0.000 0.500
Co1 Co 0.500 0.000 0.000
N1 N 0.000 0.000 0.000
Nb1 Nb 0.500 0.500 0.500
```

***

## Co2NiN2 (GGA-PBEsol)

Data for Co2NiN2 after structural relaxation.

Properties
- electronic total energy (eV per atom) = -7.7067
- DOS(E_F) (states/eV/cell) = 1.45

The structure in CIF format:
```
data_Co2NiN2
_cell_length_a 2.693
_cell_length_b 2.693
_cell_length_c 7.660
_cell_angle_alpha 79.87
_cell_angle_beta 79.87
_cell_angle_gamma 60.00
_space_group_name_H-M_alt 'P 1'
_space_group_IT_number 1
_space_group_name_Hall 'P 1'
loop_
_atom_site_label
_atom_site_type_symbol
_atom_site_fract_x
_atom_site_fract_y
_atom_site_fract_z
N1 N 0.420 0.420 0.740
N2 N 0.580 0.580 0.260
Co1 Co 0.286 0.286 0.143
Co2 Co 0.714 0.714 0.857
Ni1 Ni 0.500 0.500 0.500
```

***

Record-wise M_tot values, in μB/cell: 0.0 6.2 0.0 6.0 3.2 0.0 2.0 0.0 0.0 0.0 1.3 0.0